(1)
Compound: BeCu2Cl
Source: the Alexandria database
Functional: meta-GGA SCAN
Structure: single point on PBEsol structure

a = 2.8881 Å, b = 2.8881 Å, c = 21.1788 Å
α = 90.00°, β = 90.00°, γ = 120.00°
Last column: nearest neighbours and their distance in Å.
Space group R-3m (No. 166, hexagonal axes)
Unique sites:
Be (0.0000, 0.0000, 0.0000) (multiplicity 3)  6 Cu 2.34
Cu (0.0000, 0.0000, 0.2558) (multiplicity 6)  3 Be 2.34, 3 Cl 2.52
Cl (0.0000, 0.0000, 0.5000) (multiplicity 3)  6 Cu 2.52

Results
- E: -10.52 eV per atom
- Energy above the lowest structure with this stoichiometry: 24 meV per atom
- Formation energy (no corrections): 0.1670 eV per atom


(2)
Compound: BeCu2Cl
Source: the Alexandria database
Functional: meta-GGA SCAN
Structure: single point on PBEsol structure

a = 4.8961 Å, b = 7.4359 Å, c = 2.7881 Å
α = 90.00°, β = 90.00°, γ = 90.00°
Last column: nearest neighbours and their distance in Å.
Space group Cmmm (No. 65)
Unique sites:
Be (0.0000, 0.0000, 0.0000) (multiplicity 2)  2 Cl 2.45, 8 Cu 2.63
Cu (0.2500, 0.2500, 0.5000) (multiplicity 4)  2 Cu 2.45, 4 Cl 2.63, 4 Be 2.63
Cl (0.0000, 0.5000, 0.0000) (multiplicity 2)  2 Be 2.45, 8 Cu 2.63

Results
- E: -10.26 eV per atom
- Energy above the lowest structure with this stoichiometry: 279 meV per atom
- Formation energy (no corrections): 0.4220 eV per atom